PBE Be2CuSnBi, relaxed; ΔE_f = 0.6853 eV per atom
1.0
4.4057 0.0000 0.0000
0.0000 4.4057 0.0000
0.0000 0.0000 5.3272
Be Cu Sn Bi
2 1 1 1
direct
0.0000 0.5000 0.0000
0.5000 0.0000 0.0000
0.0000 0.0000 0.0000
0.5000 0.5000 0.5000
0.0000 0.0000 0.5000